Compound: SrFe2Au
Source: Alexandria
Functional: PBE
Structure: optimized geometry

Cell lengths 3.1231, 3.1231, 28.0059 Å; angles 90.00, 90.00, 120.00 degrees
With the nearest neighbours (Å) after each atom.
Space group R-3m (No. 166, hexagonal axes)
One atom of each set of equivalent atoms:
Sr 0.0000 0.0000 0.0000 (multiplicity 3)  6 Sr 3.12, 6 Fe 3.19
Fe 0.0000 0.0000 0.2395 (multiplicity 6)  3 Au 2.72
Au 0.0000 0.0000 0.5000 (multiplicity 3)  6 Fe 2.72

As for the formation enthalpy at 0 K: 845 meV/atom. As for the crystal system: trigonal.